1.
# Cr3B4Mo3

Cr3B4Mo3 after structural relaxation (PBE-GGA, Alexandria via LeMat-Bulk).

Properties
- Formation enthalpy at 0 K: -307 meV/atom
- Magnetic moment: 0.00 μB/cell
- Distance to the lowest polymorph of the same formula: 123.4 meV/atom
- SG: Amm2, No. 38
- Electronic total energy: -9.11 eV per atom
- Density: 7.793 g/cm³

The structure in CIF format:
```
data_Cr3B4Mo3
_chemical_formula_sum 'Cr3 B4 Mo3'
_cell_length_a 3.000
_cell_length_b 5.881
_cell_length_c 5.881
_cell_angle_alpha 90.06
_cell_angle_beta 90.00
_cell_angle_gamma 90.00
_space_group_name_H-M_alt 'P 1'
_space_group_IT_number 1
loop_
_space_group_symop_operation_xyz
'x,y,z'
loop_
_atom_site_label
_atom_site_type_symbol
_atom_site_fract_x
_atom_site_fract_y
_atom_site_fract_z
_atom_site_occupancy
Cr1 Cr 0.000 0.000 0.000 1
Cr2 Cr 0.000 0.505 0.841 1
Cr3 Cr 0.000 0.841 0.505 1
B1 B 0.500 0.052 0.284 1
B2 B 0.500 0.284 0.052 1
B3 B 0.500 0.566 0.566 1
B4 B 0.500 0.785 0.785 1
Mo1 Mo 0.000 0.346 0.346 1
Mo2 Mo 0.500 0.168 0.678 1
Mo3 Mo 0.500 0.678 0.168 1
```

=====

2.
# Cr3B4Mo3

Cr3B4Mo3 after structural relaxation (PBE-GGA, Alexandria via LeMat-Bulk).

Properties
- Formation enthalpy at 0 K: -430 meV/atom
- Magnetic moment: 0.00 μB/cell
- Distance to the lowest polymorph of the same formula: 0.0 meV/atom
- SG: Amm2, No. 38
- Electronic total energy: -9.24 eV per atom
- Density: 7.879 g/cm³

The structure in CIF format:
```
data_Cr3B4Mo3
_chemical_formula_sum 'Cr3 B4 Mo3'
_cell_length_a 3.079
_cell_length_b 5.774
_cell_length_c 5.774
_cell_angle_alpha 90.29
_cell_angle_beta 90.00
_cell_angle_gamma 90.00
_space_group_name_H-M_alt 'P 1'
_space_group_IT_number 1
loop_
_space_group_symop_operation_xyz
'x,y,z'
loop_
_atom_site_label
_atom_site_type_symbol
_atom_site_fract_x
_atom_site_fract_y
_atom_site_fract_z
_atom_site_occupancy
Cr1 Cr 0.000 0.000 0.000 1
Cr2 Cr 0.500 0.319 0.826 1
Cr3 Cr 0.500 0.826 0.319 1
B1 B 0.500 0.201 0.201 1
B2 B 0.500 0.438 0.438 1
B3 B 0.500 0.720 0.943 1
B4 B 0.500 0.943 0.720 1
Mo1 Mo 0.000 0.144 0.500 1
Mo2 Mo 0.000 0.500 0.144 1
Mo3 Mo 0.000 0.649 0.649 1
```

=====

3.
# CrBMo4

CrBMo4 after structural relaxation (PBE-GGA, Alexandria via LeMat-Bulk).

Properties
- Formation enthalpy at 0 K: 134 meV/atom
- Magnetic moment: 0.00 μB/cell
- SG: I4/mcm, No. 140
- Electronic total energy: -9.80 eV per atom
- Density: 8.906 g/cm³

The structure in CIF format:
```
data_CrBMo4
_chemical_formula_sum 'Cr2 B2 Mo8'
_cell_length_a 6.484
_cell_length_b 6.484
_cell_length_c 6.484
_cell_angle_alpha 127.48
_cell_angle_beta 127.48
_cell_angle_gamma 77.47
_space_group_name_H-M_alt 'P 1'
_space_group_IT_number 1
loop_
_space_group_symop_operation_xyz
'x,y,z'
loop_
_atom_site_label
_atom_site_type_symbol
_atom_site_fract_x
_atom_site_fract_y
_atom_site_fract_z
_atom_site_occupancy
Cr1 Cr 0.000 0.000 0.000 1
Cr2 Cr 0.500 0.500 0.000 1
B1 B 0.250 0.250 0.000 1
B2 B 0.750 0.750 0.000 1
Mo1 Mo 0.029 0.529 0.834 1
Mo2 Mo 0.195 0.029 0.500 1
Mo3 Mo 0.305 0.805 0.834 1
Mo4 Mo 0.471 0.305 0.500 1
Mo5 Mo 0.529 0.695 0.500 1
Mo6 Mo 0.695 0.195 0.166 1
Mo7 Mo 0.805 0.971 0.500 1
Mo8 Mo 0.971 0.471 0.166 1
```

=====

4.
# CrB2Mo

CrB2Mo after structural relaxation (PBE-GGA, Alexandria via LeMat-Bulk).

Properties
- Formation enthalpy at 0 K: -352 meV/atom
- Magnetic moment: 0.00 μB/cell
- Distance to the lowest polymorph of the same formula: 136.1 meV/atom
- SG: Pnma, No. 62
- Electronic total energy: -8.80 eV per atom
- Density: 7.328 g/cm³

The structure in CIF format:
```
data_CrB2Mo
_chemical_formula_sum 'Cr4 B8 Mo4'
_cell_length_a 6.222
_cell_length_b 3.001
_cell_length_c 8.231
_cell_angle_alpha 90.00
_cell_angle_beta 90.00
_cell_angle_gamma 90.00
_space_group_name_H-M_alt 'P 1'
_space_group_IT_number 1
loop_
_space_group_symop_operation_xyz
'x,y,z'
loop_
_atom_site_label
_atom_site_type_symbol
_atom_site_fract_x
_atom_site_fract_y
_atom_site_fract_z
_atom_site_occupancy
Cr1 Cr 0.011 0.250 0.108 1
Cr2 Cr 0.489 0.750 0.608 1
Cr3 Cr 0.511 0.250 0.392 1
Cr4 Cr 0.989 0.750 0.892 1
B1 B 0.162 0.750 0.675 1
B2 B 0.248 0.250 0.583 1
B3 B 0.252 0.750 0.083 1
B4 B 0.338 0.250 0.175 1
B5 B 0.662 0.750 0.825 1
B6 B 0.748 0.250 0.917 1
B7 B 0.752 0.750 0.417 1
B8 B 0.838 0.250 0.325 1
Mo1 Mo 0.135 0.750 0.379 1
Mo2 Mo 0.365 0.250 0.879 1
Mo3 Mo 0.635 0.750 0.121 1
Mo4 Mo 0.865 0.250 0.621 1
```

=====

5.
# CrBMo2

CrBMo2 after structural relaxation (PBE-GGA, Alexandria via LeMat-Bulk).

Properties
- Formation enthalpy at 0 K: 566 meV/atom
- Magnetic moment: 0.00 μB/cell
- SG: I-42d, No. 122
- Electronic total energy: -8.93 eV per atom
- Density: 8.009 g/cm³

The structure in CIF format:
```
data_CrBMo2
_chemical_formula_sum 'Cr2 B2 Mo4'
_cell_length_a 5.185
_cell_length_b 5.185
_cell_length_c 5.185
_cell_angle_alpha 105.51
_cell_angle_beta 105.51
_cell_angle_gamma 117.72
_space_group_name_H-M_alt 'P 1'
_space_group_IT_number 1
loop_
_space_group_symop_operation_xyz
'x,y,z'
loop_
_atom_site_label
_atom_site_type_symbol
_atom_site_fract_x
_atom_site_fract_y
_atom_site_fract_z
_atom_site_occupancy
Cr1 Cr 0.000 0.000 0.000 1
Cr2 Cr 0.750 0.250 0.500 1
B1 B 0.250 0.750 0.500 1
B2 B 0.500 0.500 0.000 1
Mo1 Mo 0.164 0.625 0.039 1
Mo2 Mo 0.375 0.414 0.539 1
Mo3 Mo 0.586 0.125 0.961 1
Mo4 Mo 0.875 0.836 0.461 1
```

=====

6.
# CrB3Mo

CrB3Mo after structural relaxation (PBE-GGA, Alexandria via LeMat-Bulk).

Properties
- Formation enthalpy at 0 K: 984 meV/atom
- Magnetic moment: 0.00 μB/cell
- Distance to the lowest polymorph of the same formula: 1385.4 meV/atom
- SG: Pm-3m, No. 221
- Electronic total energy: -7.11 eV per atom
- Density: 5.734 g/cm³

The structure in CIF format:
```
data_CrB3Mo
_chemical_formula_sum 'Cr1 B3 Mo1'
_cell_length_a 3.738
_cell_length_b 3.738
_cell_length_c 3.738
_cell_angle_alpha 90.00
_cell_angle_beta 90.00
_cell_angle_gamma 90.00
_space_group_name_H-M_alt 'P 1'
_space_group_IT_number 1
loop_
_space_group_symop_operation_xyz
'x,y,z'
loop_
_atom_site_label
_atom_site_type_symbol
_atom_site_fract_x
_atom_site_fract_y
_atom_site_fract_z
_atom_site_occupancy
Cr1 Cr 0.000 0.000 0.000 1
B1 B 0.000 0.000 0.500 1
B2 B 0.000 0.500 0.000 1
B3 B 0.500 0.000 0.000 1
Mo1 Mo 0.500 0.500 0.500 1
```

=====

7.
# CrBMo

CrBMo after structural relaxation (PBE-GGA, Alexandria via LeMat-Bulk).

Properties
- Formation enthalpy at 0 K: -314 meV/atom
- Magnetic moment: 0.00 μB/cell
- SG: Cmcm, No. 63
- Electronic total energy: -9.36 eV per atom
- Density: 8.034 g/cm³

The structure in CIF format:
```
data_CrBMo
_chemical_formula_sum 'Cr2 B2 Mo2'
_cell_length_a 7.197
_cell_length_b 7.197
_cell_length_c 3.036
_cell_angle_alpha 90.00
_cell_angle_beta 90.00
_cell_angle_gamma 155.33
_space_group_name_H-M_alt 'P 1'
_space_group_IT_number 1
loop_
_space_group_symop_operation_xyz
'x,y,z'
loop_
_atom_site_label
_atom_site_type_symbol
_atom_site_fract_x
_atom_site_fract_y
_atom_site_fract_z
_atom_site_occupancy
Cr1 Cr 0.207 0.793 0.750 1
Cr2 Cr 0.793 0.207 0.250 1
B1 B 0.036 0.964 0.750 1
B2 B 0.964 0.036 0.250 1
Mo1 Mo 0.410 0.590 0.750 1
Mo2 Mo 0.590 0.410 0.250 1
```

=====

8.
# CrB2Mo

CrB2Mo after structural relaxation (PBE-GGA, Alexandria via LeMat-Bulk).

Properties
- Formation enthalpy at 0 K: 224 meV/atom
- Magnetic moment: 0.00 μB/cell
- Distance to the lowest polymorph of the same formula: 712.0 meV/atom
- SG: Fm-3m, No. 225
- Electronic total energy: -8.23 eV per atom
- Density: 7.239 g/cm³

The structure in CIF format:
```
data_CrB2Mo
_chemical_formula_sum 'Cr1 B2 Mo1'
_cell_length_a 3.803
_cell_length_b 3.803
_cell_length_c 3.803
_cell_angle_alpha 60.00
_cell_angle_beta 60.00
_cell_angle_gamma 60.00
_space_group_name_H-M_alt 'P 1'
_space_group_IT_number 1
loop_
_space_group_symop_operation_xyz
'x,y,z'
loop_
_atom_site_label
_atom_site_type_symbol
_atom_site_fract_x
_atom_site_fract_y
_atom_site_fract_z
_atom_site_occupancy
Cr1 Cr 0.000 0.000 0.000 1
B1 B 0.250 0.250 0.250 1
B2 B 0.750 0.750 0.750 1
Mo1 Mo 0.500 0.500 0.500 1
```